1.
Here is an optimized crystal structure of Mg6MnAlO8 from Alexandria. Energies are from PBE+U.

Values from the calculation:
DFT total energy	-98.80	eV per cell
V	10.135	A^3/atom
Fermi-level density of states	1.90	states/eV/cell

Cell lengths 4.328, 4.328, 8.658 Å; angles 90.00, 90.00, 90.00 degrees
Site moments in Bohr magnetons follow the coordinates.
Sites, in units of the cell vectors:
O 0.000 0.500 0.500  0.06
O 0.500 0.000 0.000  0.00
O 0.500 0.500 0.249  0.00
O 0.000 0.000 0.781  0.03
O 0.500 0.500 0.751  0.00
O 0.000 0.500 0.000  0.00
O 0.500 0.000 0.500  0.06
O 0.000 0.000 0.219  0.03
Mn 0.000 0.000 0.500  4.57
Mg 0.500 0.500 0.500  0.00
Mg 0.000 0.500 0.249  0.00
Mg 0.500 0.500 0.000  0.00
Mg 0.500 0.000 0.249  0.00
Mg 0.000 0.500 0.751  0.00
Mg 0.500 0.000 0.751  0.00
Al 0.000 0.000 0.000  0.00


2.
Here is an optimized crystal structure of Mg30MnAlO32 from Alexandria. Energies are from PBE+U.

Values from the calculation:
DFT total energy	-383.74	eV per cell
V	9.679	A^3/atom
Fermi-level density of states	4.28	states/eV/cell

Cell lengths 8.502, 8.536, 8.536 Å; angles 90.00, 90.00, 90.00 degrees
Site moments in Bohr magnetons follow the coordinates.
Sites, in units of the cell vectors:
Mg 0.249 0.251 0.500  0.00
Mg 0.249 0.500 0.749  0.00
Mg 0.750 0.000 0.251  0.00
Mg 0.250 0.000 0.251  0.00
Mg 0.000 0.747 0.253  0.00
Mg 0.000 0.253 0.747  0.00
Mg 0.500 0.500 0.500  0.01
Mg 0.000 0.000 0.500  0.01
Mg 0.751 0.500 0.251  0.00
Mg 0.750 0.251 0.000  0.00
Mg 0.750 0.000 0.749  0.00
Mg 0.500 0.749 0.251  0.00
Mg 0.250 0.251 0.000  0.00
Mg 0.249 0.749 0.500  0.00
Mg 0.500 0.000 0.000  0.00
Mg 0.500 0.251 0.749  0.00
Mg 0.500 0.000 0.500  0.00
Mg 0.250 0.749 0.000  0.00
Mg 0.000 0.747 0.747  0.00
Mg 0.751 0.500 0.749  0.00
Mg 0.500 0.251 0.251  0.00
Mg 0.000 0.253 0.253  0.00
Mg 0.500 0.500 0.000  0.00
Mg 0.000 0.500 0.000  0.01
Mg 0.249 0.500 0.251  0.00
Mg 0.751 0.251 0.500  0.00
Mg 0.500 0.749 0.749  0.00
Mg 0.750 0.749 0.000  0.00
Mg 0.250 0.000 0.749  0.00
Mg 0.751 0.749 0.500  0.00
O 0.500 0.000 0.753  0.00
O 0.250 0.250 0.250  0.00
O 0.500 0.500 0.752  0.00
O 0.500 0.753 0.000  0.00
O 0.259 0.500 0.500  0.00
O 0.250 0.750 0.250  0.00
O 0.000 0.232 0.000  0.00
O 0.763 0.000 0.000  0.00
O 0.251 0.500 0.000  0.00
O 0.000 0.768 0.000  0.00
O 0.750 0.250 0.250  0.00
O 0.500 0.247 0.000  0.00
O 0.500 0.500 0.248  0.00
O 0.000 0.000 0.768  0.00
O 0.500 0.752 0.500  0.00
O 0.750 0.750 0.250  0.00
O 0.750 0.750 0.750  0.00
O 0.741 0.500 0.500  0.00
O 0.500 0.248 0.500  0.00
O 0.000 0.500 0.768  0.01
O 0.237 0.000 0.000  0.00
O 0.000 0.768 0.500  0.01
O 0.250 0.250 0.750  0.00
O 0.749 0.500 0.000  0.00
O 0.250 0.750 0.750  0.00
O 0.000 0.500 0.232  0.01
O 0.749 0.000 0.500  0.00
O 0.000 0.232 0.500  0.01
O 0.500 0.000 0.247  0.00
O 0.750 0.250 0.750  0.00
O 0.251 0.000 0.500  0.00
O 0.000 0.000 0.232  0.00
Mn 0.000 0.500 0.500  -0.09
Al 0.000 0.000 0.000  0.00